No. 1
DFT (PBE) results for an optimized crystal structure of MnFe3Au.

Unit cell a=4.7017 b=4.7017 c=4.7017 alpha=90.00 beta=90.00 gamma=90.00
With the nearest neighbours (Å) after each atom.
Sites, in units of the cell vectors:
Au: 0.0000 0.0000 0.0000  6 Fe 2.35
Fe: 0.5000 0.0000 0.0000  2 Au 2.35
Mn: 0.5000 0.5000 0.5000  12 Fe 3.32
Fe: 0.0000 0.5000 0.0000  2 Au 2.35
Fe: 0.0000 0.0000 0.5000  2 Au 2.35

formation enthalpy at 0 K: 1.93 eV/atom
E above lowest polymorph: 435 kJ/mol of formula units
symmetry: Pm-3m
total moment: 9.5 μB/f.u.
crystal system: cubic
density of states at the Fermi level: 10.62 states/eV/f.u.


No. 2
DFT (PBE) results for an optimized crystal structure of AlVS2.

Unit cell a=7.9457 b=7.9457 c=7.9457 alpha=22.87 beta=22.87 gamma=22.87
With the nearest neighbours (Å) after each atom.
Sites, in units of the cell vectors:
Al: 0.0000 0.0000 0.0000  2 S 2.39
V: 0.5000 0.5000 0.5000  6 S 2.34
S: 0.1030 0.1030 0.1030  3 V 2.34, 1 Al 2.39
S: 0.8970 0.8970 0.8970  3 V 2.34, 1 Al 2.39

symmetry: R-3m
total moment: 0.0 μB/f.u.
crystal system: trigonal
raw formation energy: -651 meV per atom
density of states at the Fermi level: 2.24 states/eV/f.u.


No. 3
DFT (PBE) results for an optimized crystal structure of Ba2Si3.

Unit cell a=5.1078 b=4.1119 c=13.4594 alpha=90.00 beta=100.94 gamma=90.00
With the nearest neighbours (Å) after each atom.
Sites, in units of the cell vectors:
Si: 0.8860 0.7500 0.7719  3 Si 2.41-2.44
Si: 0.8363 0.2500 0.6726  2 Si 2.44
Ba: 0.4309 0.2500 0.8618  12 Si 3.49-3.57
Ba: 0.2985 0.7500 0.5969  7 Si 3.43-3.56
Si: 0.0229 0.2500 0.0458  3 Si 2.39-2.41
Si: 0.1140 0.2500 0.2281  3 Si 2.41-2.44
Ba: 0.5691 0.7500 0.1382  12 Si 3.49-3.57
Si: 0.1637 0.7500 0.3274  2 Si 2.44
Ba: 0.7015 0.2500 0.4031  7 Si 3.43-3.56
Si: 0.9771 0.7500 0.9542  3 Si 2.39-2.41

E above lowest polymorph: 0 kJ/mol of formula units
symmetry: Cmcm
total moment: 0.0 μB/f.u.
crystal system: orthorhombic
raw formation energy: -388 meV per atom
density of states at the Fermi level: 2.07 states/eV/f.u.


No. 4
DFT (PBE) results for an optimized crystal structure of ScAg4.

Unit cell a=5.1417 b=5.1417 c=5.1417 alpha=90.00 beta=90.00 gamma=90.00
With the nearest neighbours (Å) after each atom.
Sites, in units of the cell vectors:
Ag: 0.5000 0.0000 0.5000  2 Sc 2.57
Sc: 0.5000 0.5000 0.5000  6 Ag 2.57
Ag: 0.0000 0.5000 0.5000  2 Sc 2.57
Ag: 0.5000 0.5000 0.0000  2 Sc 2.57
Ag: 0.0000 0.0000 0.0000  12 Ag 3.64

formation enthalpy at 0 K: 0.94 eV/atom
symmetry: Pm-3m
total moment: 0.0 μB/f.u.
crystal system: cubic
density of states at the Fermi level: 2.51 states/eV/f.u.